#a
Na3SiAs, relaxed, DFT PBE-GGA; volume = 168.4 Å³/f.u.; spin magnetization = 2.0 μB/f.u.
1.0
-1.0831 -4.4980 3.0151
4.7784 -2.2405 -1.6259
2.5476 2.2900 4.3315
Na As Si
3 1 1
direct
0.0000 0.0000 0.5000
0.5000 0.0000 0.0000
0.0000 0.5000 0.0000
0.0000 0.0000 0.0000
0.5000 0.5000 0.5000

#b
Na3SiAs, relaxed, DFT PBE-GGA; volume = 127.9 Å³/f.u.; spin magnetization = 0.0 μB/f.u.
1.0
7.1574 -0.6687 0.4981
-4.0958 5.9077 -0.4981
-2.8766 -1.8330 6.3474
Na Si As
6 2 2
direct
0.9836 0.7456 0.2650
0.4806 0.7186 0.7350
0.0087 0.2304 0.2783
0.9836 0.2186 0.7380
0.4806 0.2456 0.2620
0.9521 0.7304 0.7217
0.2943 0.7326 0.0616
0.6710 0.2326 0.9384
0.5700 0.7311 0.3389
0.3921 0.2311 0.6611

#b is favored, and the nearest alternative lies 43.7 kJ/mol of atoms above it.

#a
NaSi3As, relaxed, DFT PBE-GGA; volume = 122.4 Å³/f.u.; spin magnetization = 0.0 μB/f.u.
1.0
-2.6610 1.6917 3.8347
3.7895 -0.9695 3.0574
1.7907 4.5657 -0.7716
Si Na As
3 1 1
direct
0.0000 0.0000 0.5000
0.5000 0.0000 0.0000
0.0000 0.5000 0.0000
0.5000 0.5000 0.5000
0.0000 0.0000 0.0000

#b
NaSi3As, relaxed, DFT PBE-GGA; volume = 118.7 Å³/f.u.; spin magnetization = 0.0 μB/f.u.
1.0
4.9148 0.0000 0.0000
0.0000 4.9148 0.0000
0.0000 0.0000 4.9148
As Na Si
1 1 3
direct
0.5000 0.5000 0.5000
0.0000 0.0000 0.0000
0.0000 0.5000 0.0000
0.0000 0.0000 0.5000
0.5000 0.0000 0.0000

#a is favored, and the nearest alternative lies 71.2 kJ/mol of atoms above it.

#a
NaSn3As, relaxed, DFT PBE-GGA; volume = 169.9 Å³/f.u.; spin magnetization = 0.0 μB/f.u.
1.0
5.5388 0.0000 0.0000
0.0000 5.5388 0.0000
0.0000 0.0000 5.5388
Na Sn As
1 3 1
direct
0.5000 0.5000 0.5000
0.5000 0.0000 0.0000
0.0000 0.5000 0.0000
0.0000 0.0000 0.5000
0.0000 0.0000 0.0000

#b
NaSn3As, relaxed, DFT PBE-GGA; volume = 153.4 Å³/f.u.; spin magnetization = 0.0 μB/f.u.
1.0
-1.7932 -4.9118 1.1441
2.2594 -1.8680 -4.4784
4.5089 -1.0174 2.6991
Sn Na As
3 1 1
direct
0.0000 0.5000 0.0000
0.5000 0.0000 0.0000
0.0000 0.0000 0.5000
0.0000 0.0000 0.0000
0.5000 0.5000 0.5000

#a is favored, and the nearest alternative lies 48.3 kJ/mol of atoms above it.